VASP calculation (PBE) on crystalline NdCuSi2Pd at its relaxed geometry.

* total energy: -5.6724 eV per atom
* calculated density: 7.11 Mg/m³

Structure (CIF):
```
data_NdCuSi2Pd
_chemical_formula_sum 'Nd1 Cu1 Si2 Pd1'
_symmetry_space_group_name_H-M 'P 1'
_symmetry_Int_Tables_number 1
_symmetry_space_group_name_Hall 'P 1'
_cell_length_a 5.817
_cell_length_b 5.817
_cell_length_c 5.817
_cell_angle_alpha 138.19
_cell_angle_beta 138.19
_cell_angle_gamma 60.62
loop_
_atom_site_label
_atom_site_type_symbol
_atom_site_fract_x
_atom_site_fract_y
_atom_site_fract_z
Nd1 Nd 0.000 0.000 0.000
Cu1 Cu 0.250 0.750 0.500
Si1 Si 0.381 0.381 0.000
Si2 Si 0.619 0.619 0.000
Pd1 Pd 0.750 0.250 0.500
```